Cs3IrI8 | GGA-PBE | optimized geometry

VASP energy, eV per atom: -2.4397
DOS at the Fermi energy, states/eV per cell: 7.31
ΔE_f (raw), meV per atom: -454.4
Total magnetic moment, μB per formula unit: 0.000

```
data_Cs3IrI8
_chemical_formula_sum 'Cs6 Ir2 I16'
_cell_length_a 9.635
_cell_length_b 9.635
_cell_length_c 12.521
_cell_angle_alpha 90.00
_cell_angle_beta 90.00
_cell_angle_gamma 90.00
_symmetry_space_group_name_H-M 'I 4/m m m'
_symmetry_Int_Tables_number 139
_symmetry_space_group_name_Hall '-I 4 2'
loop_
_atom_site_label
_atom_site_type_symbol
_atom_site_fract_x
_atom_site_fract_y
_atom_site_fract_z
Cs1 Cs 0.000 0.000 0.000
Cs2 Cs 0.000 0.500 0.250
Ir1 Ir 0.000 0.000 0.500
I1 I 0.185 0.185 0.364
```

=====

ZrZnRh2 | GGA-PBE | optimized geometry

VASP energy, eV per atom: -6.1761
DOS at the Fermi energy, states/eV per cell: 15.21
Total magnetic moment, μB per formula unit: 1.361

```
data_ZrZnRh2
_chemical_formula_sum 'Zr3 Zn3 Rh6'
_cell_length_a 2.8791
_cell_length_b 2.8791
_cell_length_c 27.2987
_cell_angle_alpha 90.00
_cell_angle_beta 90.00
_cell_angle_gamma 120.00
_symmetry_space_group_name_H-M 'R 3 m'
_symmetry_Int_Tables_number 160
_symmetry_space_group_name_Hall 'R 3 -2"'
loop_
_atom_site_label
_atom_site_type_symbol
_atom_site_fract_x
_atom_site_fract_y
_atom_site_fract_z
Zr1 Zr 0.0000 0.0000 0.0000
Zn1 Zn 0.0000 0.0000 0.7587
Rh1 Rh 0.0000 0.0000 0.2476
Rh2 Rh 0.0000 0.0000 0.5006
```

=====

CsNaCdPb | GGA-PBE | optimized geometry

VASP energy, eV per atom: -1.7053
DOS at the Fermi energy, states/eV per cell: 6.31
Total magnetic moment, μB per formula unit: 0.000

```
data_CsNaCdPb
_chemical_formula_sum 'Cs4 Na4 Cd4 Pb4'
_cell_length_a 8.227
_cell_length_b 8.227
_cell_length_c 8.227
_cell_angle_alpha 90.00
_cell_angle_beta 90.00
_cell_angle_gamma 90.00
_symmetry_space_group_name_H-M 'F -4 3 m'
_symmetry_Int_Tables_number 216
_symmetry_space_group_name_Hall 'F -4 2 3'
loop_
_atom_site_label
_atom_site_type_symbol
_atom_site_fract_x
_atom_site_fract_y
_atom_site_fract_z
Cs1 Cs 0.000 0.000 0.000
Na1 Na 0.250 0.250 0.750
Cd1 Cd 0.250 0.250 0.250
Pb1 Pb 0.000 0.000 0.500
```

=====

La4SmEr2Tm | GGA-PBE | optimized geometry

VASP energy, eV per atom: -4.6761
DOS at the Fermi energy, states/eV per cell: 12.93
Total magnetic moment, μB per formula unit: 0.001

```
data_La4SmEr2Tm
_chemical_formula_sum 'La4 Sm1 Er2 Tm1'
_cell_length_a 5.940
_cell_length_b 5.940
_cell_length_c 7.785
_cell_angle_alpha 90.00
_cell_angle_beta 90.00
_cell_angle_gamma 90.00
_symmetry_space_group_name_H-M 'P 4/m m m'
_symmetry_Int_Tables_number 123
_symmetry_space_group_name_Hall '-P 4 2'
loop_
_atom_site_label
_atom_site_type_symbol
_atom_site_fract_x
_atom_site_fract_y
_atom_site_fract_z
La1 La 0.000 0.500 0.244
Sm1 Sm 0.000 0.000 0.500
Er1 Er 0.000 0.000 0.000
Er2 Er 0.500 0.500 0.500
Tm1 Tm 0.500 0.500 0.000
```

=====

Na3PuPa2Te6 | GGA-PBE | optimized geometry

VASP energy, eV per atom: -5.6105
DOS at the Fermi energy, states/eV per cell: 46.20
ΔE_f (raw), meV per atom: -932.9
Total magnetic moment, μB per formula unit: 9.016

```
data_Na3PuPa2Te6
_chemical_formula_sum 'Na6 Pu2 Pa4 Te12'
_cell_length_a 7.617
_cell_length_b 13.190
_cell_length_c 8.110
_cell_angle_alpha 90.00
_cell_angle_beta 108.24
_cell_angle_gamma 90.00
_symmetry_space_group_name_H-M 'C 1 2/m 1'
_symmetry_Int_Tables_number 12
_symmetry_space_group_name_Hall '-C 2y'
loop_
_atom_site_label
_atom_site_type_symbol
_atom_site_fract_x
_atom_site_fract_y
_atom_site_fract_z
Na1 Na 0.000 0.000 0.000
Na2 Na 0.000 0.335 0.000
Pu1 Pu 0.000 0.500 0.500
Pa1 Pa 0.000 0.167 0.500
Te1 Te 0.241 0.000 0.739
Te2 Te 0.249 0.331 0.738
```

=====

Pm4ErTl2 | GGA-PBE | optimized geometry

VASP energy, eV per atom: -3.9352
DOS at the Fermi energy, states/eV per cell: 34.95
Total magnetic moment, μB per formula unit: 0.000

```
data_Pm4ErTl2
_chemical_formula_sum 'Pm16 Er4 Tl8'
_cell_length_a 6.950
_cell_length_b 10.106
_cell_length_c 12.698
_cell_angle_alpha 90.00
_cell_angle_beta 90.00
_cell_angle_gamma 90.00
_symmetry_space_group_name_H-M 'F m m m'
_symmetry_Int_Tables_number 69
_symmetry_space_group_name_Hall '-F 2 2'
loop_
_atom_site_label
_atom_site_type_symbol
_atom_site_fract_x
_atom_site_fract_y
_atom_site_fract_z
Pm1 Pm 0.250 0.250 0.000
Pm2 Pm 0.250 0.250 0.250
Er1 Er 0.000 0.000 0.000
Tl1 Tl 0.000 0.000 0.371
```

=====

ZrReOs3 | GGA-PBE | optimized geometry

VASP energy, eV per atom: -9.3744
DOS at the Fermi energy, states/eV per cell: 5.49
Total magnetic moment, μB per formula unit: 0.000

```
data_ZrReOs3
_chemical_formula_sum 'Zr1 Re1 Os3'
_cell_length_a 4.690
_cell_length_b 4.690
_cell_length_c 4.690
_cell_angle_alpha 90.00
_cell_angle_beta 90.00
_cell_angle_gamma 90.00
_symmetry_space_group_name_H-M 'P m -3 m'
_symmetry_Int_Tables_number 221
_symmetry_space_group_name_Hall '-P 4 2 3'
loop_
_atom_site_label
_atom_site_type_symbol
_atom_site_fract_x
_atom_site_fract_y
_atom_site_fract_z
Zr1 Zr 0.000 0.000 0.000
Re1 Re 0.500 0.500 0.500
Os1 Os 0.000 0.500 0.500
```

=====

CeErAl | GGA-PBE | optimized geometry

VASP energy, eV per atom: -4.9667
DOS at the Fermi energy, states/eV per cell: 19.08
Total magnetic moment, μB per formula unit: 0.000

```
data_CeErAl
_chemical_formula_sum 'Ce4 Er4 Al4'
_cell_length_a 3.317
_cell_length_b 17.041
_cell_length_c 5.161
_cell_angle_alpha 90.00
_cell_angle_beta 90.00
_cell_angle_gamma 90.00
_symmetry_space_group_name_H-M 'C m c m'
_symmetry_Int_Tables_number 63
_symmetry_space_group_name_Hall '-C 2c 2'
loop_
_atom_site_label
_atom_site_type_symbol
_atom_site_fract_x
_atom_site_fract_y
_atom_site_fract_z
Ce1 Ce 0.000 0.238 0.250
Er1 Er 0.000 0.439 0.750
Al1 Al 0.000 0.103 0.750
```